This record from the Alexandria database describes Ac2Sm2Mg after structural relaxation. The functional is GGA-PBE.

## Properties
- Space-group type: I4/mmm (139)
- ΔH_f (0 K): 0.001 eV per atom

POSCAR file:
```
Ac2Sm2Mg
1.0
3.887 0.000 0.000
0.000 3.887 0.000
0.000 0.000 24.213
Ac Sm Mg
4 4 2
Direct
0.000 0.000 0.093
0.000 0.000 0.907
0.500 0.500 0.407
0.500 0.500 0.593
0.000 0.000 0.299
0.000 0.000 0.701
0.500 0.500 0.201
0.500 0.500 0.799
0.000 0.000 0.500
0.500 0.500 0.000
```